(1)
# Na2Li3TcF12 (GGA-PBE, optimized geometry)
data_Na2Li3TcF12
_chemical_formula_sum 'Na6 Li9 Tc3 F36'
_symmetry_space_group_name_H-M 'R -3 m'
_symmetry_Int_Tables_number 166
_symmetry_space_group_name_Hall '-R 3 2"'
_cell_length_a 6.3868
_cell_length_b 6.3868
_cell_length_c 25.3775
_cell_angle_alpha 90.00
_cell_angle_beta 90.00
_cell_angle_gamma 120.00
loop_
_atom_site_label
_atom_site_type_symbol
_atom_site_fract_x
_atom_site_fract_y
_atom_site_fract_z
Na1 Na 0.0000 0.0000 0.0616
Li1 Li 0.0000 0.5000 0.0000
Tc1 Tc 0.0000 0.0000 0.5000
F1 F 0.0417 0.5208 0.3646
F2 F 0.0564 0.5282 0.1241
# Crystal system: trigonal
# Uncorrected formation energy: -2.205 eV per atom
# V: 16.6 Å³/atom
# Spin magnetization: 8.1 μB/cell

(2)
# Tl3Cl (GGA-PBE, optimized geometry)
data_Tl3Cl
_chemical_formula_sum 'Tl12 Cl4'
_symmetry_space_group_name_H-M 'F m -3 m'
_symmetry_Int_Tables_number 225
_symmetry_space_group_name_Hall '-F 4 2 3'
_cell_length_a 7.849
_cell_length_b 7.849
_cell_length_c 7.849
_cell_angle_alpha 90.00
_cell_angle_beta 90.00
_cell_angle_gamma 90.00
loop_
_atom_site_label
_atom_site_type_symbol
_atom_site_fract_x
_atom_site_fract_y
_atom_site_fract_z
Tl1 Tl 0.000 0.000 0.000
Tl2 Tl 0.250 0.250 0.250
Cl1 Cl 0.000 0.000 0.500
# Distance to the lowest polymorph of the same formula: 0.139 eV/atom
# Crystal system: cubic
# Uncorrected formation energy: -0.237 eV per atom
# V: 30.2 Å³/atom
# Spin magnetization: 0.0 μB/cell

(3)
# AcPm14Sc (GGA-PBE, optimized geometry)
data_AcPm14Sc
_chemical_formula_sum 'Ac1 Pm14 Sc1'
_symmetry_space_group_name_H-M 'P 4/m m m'
_symmetry_Int_Tables_number 123
_symmetry_space_group_name_Hall '-P 4 2'
_cell_length_a 7.299
_cell_length_b 7.299
_cell_length_c 10.291
_cell_angle_alpha 90.00
_cell_angle_beta 90.00
_cell_angle_gamma 90.00
loop_
_atom_site_label
_atom_site_type_symbol
_atom_site_fract_x
_atom_site_fract_y
_atom_site_fract_z
Ac1 Ac 0.000 0.000 0.000
Pm1 Pm 0.000 0.000 0.500
Pm2 Pm 0.000 0.500 0.000
Pm3 Pm 0.000 0.500 0.500
Pm4 Pm 0.255 0.255 0.249
Pm5 Pm 0.500 0.500 0.500
Sc1 Sc 0.500 0.500 0.000
# Crystal system: tetragonal
# V: 34.3 Å³/atom
# Spin magnetization: 0.0 μB/cell
# Formation enthalpy at 0 K: 0.027 eV per atom